Entry 1:
The following is a DFT calculation (PBE-GGA) of crystalline Mn3TlSb at its relaxed geometry.

Computed properties:
Distance to the lowest polymorph of the same formula   0 meV/atom
Formation energy from raw total energies   392 kJ/mol of formula units
Total DFT energy (no corrections)   -5.9869 eV/atom
DOS(E_F)   2.52 states/eV/f.u.

Geometry as CIF:
```
data_Mn3TlSb
_cell_length_a 5.025
_cell_length_b 5.025
_cell_length_c 5.025
_cell_angle_alpha 90.00
_cell_angle_beta 90.00
_cell_angle_gamma 90.00
_space_group_name_H-M_alt 'P m -3 m'
_space_group_IT_number 221
_space_group_name_Hall '-P 4 2 3'
loop_
_atom_site_label
_atom_site_type_symbol
_atom_site_fract_x
_atom_site_fract_y
_atom_site_fract_z
Mn1 Mn 0.000 0.000 0.500
Tl1 Tl 0.500 0.500 0.500
Sb1 Sb 0.000 0.000 0.000
```

***

Entry 2:
The following is a DFT calculation (PBE-GGA) of crystalline MnTlSb2 at its relaxed geometry.

Computed properties:
Distance to the lowest polymorph of the same formula   68 meV/atom
Formation energy from raw total energies   42 kJ/mol of formula units
Total DFT energy (no corrections)   -4.8369 eV/atom
DOS(E_F)   2.72 states/eV/f.u.

Geometry as CIF:
```
data_MnTlSb2
_cell_length_a 3.139
_cell_length_b 3.710
_cell_length_c 8.653
_cell_angle_alpha 90.00
_cell_angle_beta 92.04
_cell_angle_gamma 90.00
_space_group_name_H-M_alt 'P 1 2/m 1'
_space_group_IT_number 10
_space_group_name_Hall '-P 2y'
loop_
_atom_site_label
_atom_site_type_symbol
_atom_site_fract_x
_atom_site_fract_y
_atom_site_fract_z
Mn1 Mn 0.000 0.000 0.000
Tl1 Tl 0.000 0.000 0.500
Sb1 Sb 0.499 0.500 0.813
```